VASP calculation (PBE with a Hubbard U) on a relaxed NaMnP3O9 crystal.

Summary:
space group = P2_12_12_1, No. 19
calculated total energy = -7.134 eV/atom

abc: 8.8343 8.8444 9.0630
angles: 90.00 90.00 90.00
Positions (direct):
Na  0.1544  0.1294  0.3944
Na  0.3456  0.8706  0.8944
Na  0.6544  0.3706  0.6056
Na  0.8456  0.6294  0.1056
Mn  0.1241  0.8536  0.1628
Mn  0.3759  0.1464  0.6628
Mn  0.6241  0.6464  0.8372
Mn  0.8759  0.3536  0.3372
P  0.0364  0.3269  0.6893
P  0.1922  0.8092  0.5615
P  0.1951  0.4749  0.1880
P  0.3049  0.5251  0.6880
P  0.3078  0.1908  0.0615
P  0.4636  0.6731  0.1893
P  0.5364  0.1731  0.3107
P  0.6922  0.6908  0.4385
P  0.6951  0.0251  0.8120
P  0.8049  0.9749  0.3120
P  0.8078  0.3092  0.9385
P  0.9636  0.8269  0.8107
O  0.0376  0.7835  0.6544
O  0.0827  0.8766  0.9185
O  0.1067  0.6054  0.1261
O  0.1221  0.3848  0.3102
O  0.1373  0.1987  0.6421
O  0.1404  0.4686  0.7424
O  0.1489  0.8530  0.4075
O  0.2016  0.0894  0.1455
O  0.2410  0.3612  0.0548
O  0.2590  0.6388  0.5548
O  0.2984  0.9106  0.6455
O  0.3511  0.1470  0.9075
O  0.3596  0.5314  0.2424
O  0.3627  0.8013  0.1421
O  0.3779  0.6152  0.8102
O  0.3933  0.3946  0.6261
O  0.4173  0.1234  0.4185
O  0.4624  0.2165  0.1544
O  0.5376  0.7165  0.3456
O  0.5827  0.6234  0.0815
O  0.6067  0.8946  0.8739
O  0.6221  0.1152  0.6898
O  0.6373  0.3013  0.3579
O  0.6404  0.0314  0.2576
O  0.6489  0.6470  0.5925
O  0.7016  0.4106  0.8545
O  0.7410  0.1388  0.9452
O  0.7590  0.8612  0.4452
O  0.7984  0.5894  0.3545
O  0.8511  0.3530  0.0925
O  0.8596  0.9686  0.7576
O  0.8627  0.6987  0.8579
O  0.8779  0.8848  0.1898
O  0.8933  0.1054  0.3739
O  0.9173  0.3766  0.5815
O  0.9624  0.2835  0.8456